1.
A plane-wave DFT calculation with GGA-PBE was carried out for an optimized crystal structure of BaAu3.

Cell: 7.4298 7.4298 8.8379 Å, 90.00 90.00 120.00°
Space group P6_3/mmc (No. 194)
Asymmetric unit:
1 Ba 0.0000 0.0000 0.0000
2 Ba 0.3333 0.6667 0.2500
3 Au 0.0000 0.5000 0.0000
4 Au 0.2040 0.4080 0.7500

Results
ΔH_f (0 K): -0.43 eV/atom
magnetization: 0.00 μB/f.u.
final energy: -3.36 eV/atom


2.
A plane-wave DFT calculation with GGA-PBE was carried out for an optimized crystal structure of TlTc2P.

Cell: 6.309 6.309 6.309 Å, 90.00 90.00 90.00°
Space group Fm-3m (No. 225)
Asymmetric unit:
1 Tl 0.000 0.000 0.000
2 Tc 0.250 0.250 0.250
3 P 0.000 0.000 0.500

Results
ΔH_f (0 K): 0.55 eV/atom
energy relative to the lowest polymorph listed for this composition: 2.03 eV per formula unit
magnetization: 0.00 μB/f.u.
final energy: -6.57 eV/atom


3.
A plane-wave DFT calculation with GGA-PBE was carried out for an optimized crystal structure of Pm4InNi.

Cell: 4.977 4.977 7.525 Å, 90.00 90.00 90.00°
Space group P4/mmm (No. 123)
Asymmetric unit:
1 Pm 0.000 0.500 0.221
2 In 0.000 0.000 0.500
3 Ni 0.500 0.500 0.000

Results
ΔH_f (0 K): -0.07 eV/atom
energy relative to the lowest polymorph listed for this composition: 1.41 eV per formula unit
magnetization: 0.00 μB/f.u.
final energy: -4.66 eV/atom


4.
A plane-wave DFT calculation with GGA-PBE was carried out for an optimized crystal structure of KCo2Tc.

Cell: 8.183 2.644 7.027 Å, 90.00 93.18 90.00°
Space group C2/m (No. 12)
Asymmetric unit:
1 K 0.000 0.000 0.000
2 Co 0.239 0.000 0.640
3 Tc 0.000 0.500 0.500

Results
ΔH_f (0 K): 0.76 eV/atom
energy relative to the lowest polymorph listed for this composition: 0.28 eV per formula unit
magnetization: 1.68 μB/f.u.
final energy: -5.66 eV/atom


5.
A plane-wave DFT calculation with GGA-PBE was carried out for an optimized crystal structure of MgIr2Rh2.

Cell: 7.574 7.574 2.767 Å, 90.00 90.00 90.00°
Space group P4/mbm (No. 127)
Asymmetric unit:
1 Mg 0.000 0.000 0.000
2 Ir 0.177 0.323 0.500
3 Rh 0.121 0.621 0.000

Results
ΔH_f (0 K): 0.03 eV/atom
energy relative to the lowest polymorph listed for this composition: 0.08 eV per formula unit
magnetization: 0.00 μB/f.u.
final energy: -6.77 eV/atom


6.
A plane-wave DFT calculation with GGA-PBE was carried out for an optimized crystal structure of Mn3TlSe.

Cell: 4.653 4.653 4.653 Å, 90.00 90.00 90.00°
Space group Pm-3m (No. 221)
Asymmetric unit:
1 Mn 0.000 0.000 0.500
2 Tl 0.500 0.500 0.500
3 Se 0.000 0.000 0.000

Results
formation energy (no corrections): 470 meV per atom
energy relative to the lowest polymorph listed for this composition: 0.00 eV per formula unit
magnetization: 10.21 μB/f.u.
final energy: -6.20 eV/atom


7.
A plane-wave DFT calculation with GGA-PBE was carried out for an optimized crystal structure of PrLuGePt.

Cell: 7.170 7.170 7.170 Å, 90.00 90.00 90.00°
Space group F-43m (No. 216)
Asymmetric unit:
1 Pr 0.000 0.000 0.000
2 Lu 0.000 0.000 0.500
3 Ge 0.250 0.250 0.750
4 Pt 0.250 0.250 0.250

Results
ΔH_f (0 K): -0.86 eV/atom
magnetization: 0.00 μB/f.u.
final energy: -5.85 eV/atom


8.
A plane-wave DFT calculation with GGA-PBE was carried out for an optimized crystal structure of Ru3Se.

Cell: 8.4297 8.4297 2.9380 Å, 90.00 90.00 120.00°
Space group R-3m (No. 166, hexagonal axes)
Asymmetric unit:
1 Ru 0.0000 0.5000 0.0000
2 Se 0.0000 0.0000 0.0000

Results
formation energy (no corrections): 649 meV per atom
magnetization: 2.03 μB/f.u.
final energy: -7.18 eV/atom


9.
A plane-wave DFT calculation with GGA-PBE was carried out for an optimized crystal structure of PuThTc.

Cell: 3.500 3.500 10.934 Å, 90.00 90.00 90.00°
Space group I4mm (No. 107)
Asymmetric unit:
1 Pu 0.000 0.000 0.000
2 Th 0.000 0.000 0.312
3 Tc 0.000 0.000 0.651

Results
ΔH_f (0 K): 0.01 eV/atom
energy relative to the lowest polymorph listed for this composition: 0.00 eV per formula unit
magnetization: 5.10 μB/f.u.
final energy: -10.69 eV/atom


10.
A plane-wave DFT calculation with GGA-PBE was carried out for an optimized crystal structure of Pm2Sb3Pt4Rh.

Cell: 4.343 4.343 11.419 Å, 90.00 90.00 90.00°
Space group P-4m2 (No. 115)
Asymmetric unit:
1 Pm 0.000 0.500 0.240
2 Sb 0.000 0.000 0.000
3 Sb 0.000 0.500 0.633
4 Pt 0.000 0.000 0.500
5 Pt 0.000 0.500 0.856
6 Pt 0.500 0.500 0.500
7 Rh 0.500 0.500 0.000

Results
formation energy (no corrections): -715 meV per atom
magnetization: 0.00 μB/f.u.
final energy: -6.05 eV/atom


11.
A plane-wave DFT calculation with GGA-PBE was carried out for an optimized crystal structure of PmNiP2Ir2.

Cell: 6.160 8.830 4.001 Å, 90.00 90.00 90.00°
Space group Pnnm (No. 58)
Asymmetric unit:
1 Pm 0.000 0.000 0.000
2 Ni 0.000 0.500 0.000
3 P 0.218 0.308 0.000
4 Ir 0.031 0.316 0.500

Results
ΔH_f (0 K): -0.65 eV/atom
magnetization: 0.00 μB/f.u.
final energy: -7.16 eV/atom


12.
A plane-wave DFT calculation with GGA-PBE was carried out for an optimized crystal structure of Dy2TmCd.

Cell: 3.561 3.561 9.029 Å, 90.00 90.00 90.00°
Space group P4/mmm (No. 123)
Asymmetric unit:
1 Dy 0.000 0.000 0.231
2 Tm 0.500 0.500 0.500
3 Cd 0.500 0.500 0.000

Results
ΔH_f (0 K): -0.14 eV/atom
energy relative to the lowest polymorph listed for this composition: 0.00 eV per formula unit
magnetization: 0.00 μB/f.u.
final energy: -3.79 eV/atom


13.
A plane-wave DFT calculation with GGA-PBE was carried out for an optimized crystal structure of Ta2ZnP.

Cell: 3.548 4.705 7.679 Å, 90.00 90.00 90.00°
Space group Immm (No. 71)
Asymmetric unit:
1 Ta 0.000 0.000 0.222
2 Zn 0.000 0.500 0.000
3 P 0.000 0.500 0.500

Results
ΔH_f (0 K): -0.16 eV/atom
magnetization: 0.00 μB/f.u.
final energy: -7.76 eV/atom


14.
A plane-wave DFT calculation with GGA-PBE was carried out for an optimized crystal structure of Dy2Ho5Er12.

Cell: 6.068 9.855 10.731 Å, 67.01 84.42 88.31°
Space group P-1 (No. 2)
Asymmetric unit:
1 Dy 0.227 0.449 0.055
2 Ho 0.080 0.492 0.339
3 Ho 0.400 0.016 0.161
4 Ho 0.500 0.000 0.500
5 Er 0.043 0.149 0.351
6 Er 0.095 0.827 0.994
7 Er 0.112 0.165 0.673
8 Er 0.385 0.675 0.468
9 Er 0.411 0.694 0.758
10 Er 0.426 0.322 0.834

Results
ΔH_f (0 K): 0.12 eV/atom
energy relative to the lowest polymorph listed for this composition: 0.00 eV per formula unit
magnetization: 0.00 μB/f.u.
final energy: -4.45 eV/atom


15.
A plane-wave DFT calculation with GGA-PBE was carried out for an optimized crystal structure of LiCrNi2N.

Cell: 3.810 3.810 3.777 Å, 90.00 90.00 90.00°
Space group P4/mmm (No. 123)
Asymmetric unit:
1 Li 0.000 0.000 0.000
2 Cr 0.500 0.500 0.000
3 Ni 0.000 0.500 0.500
4 N 0.500 0.500 0.500

Results
formation energy (no corrections): -118 meV per atom
magnetization: 2.33 μB/f.u.
final energy: -6.40 eV/atom


16.
A plane-wave DFT calculation with GGA-PBE was carried out for an optimized crystal structure of Tl3CdP.

Cell: 5.579 5.579 5.579 Å, 90.00 90.00 90.00°
Space group Pm-3m (No. 221)
Asymmetric unit:
1 Tl 0.000 0.000 0.500
2 Cd 0.000 0.000 0.000
3 P 0.500 0.500 0.500

Results
ΔH_f (0 K): 0.66 eV/atom
energy relative to the lowest polymorph listed for this composition: 1.53 eV per formula unit
magnetization: 0.43 μB/f.u.
final energy: -2.02 eV/atom


17.
A plane-wave DFT calculation with GGA-PBE was carried out for an optimized crystal structure of Te2W.

Cell: 4.9267 4.9267 6.3088 Å, 90.00 90.00 120.00°
Space group P6_3/mmc (No. 194)
Asymmetric unit:
1 Te 0.0000 0.0000 0.0000
2 Te 0.3333 0.6667 0.2500
3 W 0.3333 0.6667 0.7500

Results
formation energy (no corrections): 1008 meV per atom
magnetization: 0.62 μB/f.u.
final energy: -5.40 eV/atom


18.
A plane-wave DFT calculation with GGA-PBE was carried out for an optimized crystal structure of Zr3Pt.

Cell: 5.013 5.814 5.601 Å, 90.00 90.00 90.00°
Space group Pmmn (No. 59, origin choice 2)
Asymmetric unit:
1 Zr 0.250 0.000 0.124
2 Zr 0.250 0.250 0.601
3 Pt 0.250 0.750 0.661

Results
ΔH_f (0 K): -0.44 eV/atom
magnetization: 0.00 μB/f.u.
final energy: -8.37 eV/atom


19.
A plane-wave DFT calculation with GGA-PBE was carried out for an optimized crystal structure of Co7Pd2Pt2.

Cell: 8.576 8.272 4.564 Å, 90.00 117.59 90.00°
Space group C2/m (No. 12)
Asymmetric unit:
1 Co 0.000 0.000 0.000
2 Co 0.171 0.239 0.167
3 Co 0.246 0.500 0.452
4 Pd 0.104 0.500 0.829
5 Pt 0.000 0.186 0.500

Results
ΔH_f (0 K): 0.07 eV/atom
magnetization: 14.24 μB/f.u.
final energy: -6.49 eV/atom


20.
A plane-wave DFT calculation with GGA-PBE was carried out for an optimized crystal structure of RbMgCuCl4.

Cell: 6.066 7.702 8.848 Å, 90.00 102.55 90.00°
Space group P2_1/m (No. 11)
Asymmetric unit:
1 Rb 0.240 0.250 0.094
2 Mg 0.186 0.750 0.330
3 Cu 0.302 0.250 0.667
4 Cl 0.078 0.020 0.723
5 Cl 0.351 0.750 0.109
6 Cl 0.489 0.250 0.471

Results
formation energy (no corrections): -1434 meV per atom
magnetization: 0.11 μB/f.u.
final energy: -3.44 eV/atom


21.
A plane-wave DFT calculation with GGA-PBE was carried out for an optimized crystal structure of KFeOs2.

Cell: 2.689 4.767 5.189 Å, 90.00 90.00 90.00°
Space group Pmmm (No. 47)
Asymmetric unit:
1 K 0.000 0.000 0.000
2 Fe 0.500 0.500 0.000
3 Os 0.000 0.500 0.500
4 Os 0.500 0.000 0.500

Results
ΔH_f (0 K): 1.39 eV/atom
energy relative to the lowest polymorph listed for this composition: 2.50 eV per formula unit
magnetization: 2.92 μB/f.u.
final energy: -6.62 eV/atom


22.
A plane-wave DFT calculation with GGA-PBE was carried out for an optimized crystal structure of Al3Os4.

Cell: 4.8895 4.8895 4.8215 Å, 90.00 90.00 120.00°
Space group P6/mmm (No. 191)
Asymmetric unit:
1 Al 0.0000 0.5000 0.0000
2 Os 0.0000 0.0000 0.2540
3 Os 0.3333 0.6667 0.5000

Results
ΔH_f (0 K): 0.27 eV/atom
energy relative to the lowest polymorph listed for this composition: 2.64 eV per formula unit
magnetization: 0.00 μB/f.u.
final energy: -7.75 eV/atom


23.
A plane-wave DFT calculation with GGA-PBE was carried out for an optimized crystal structure of CaTl4Br6.

Cell: 13.0475 13.0475 16.1167 Å, 90.00 90.00 120.00°
Space group R-3c (No. 167, hexagonal axes)
Asymmetric unit:
1 Ca 0.0000 0.0000 0.0000
2 Tl 0.0000 0.0000 0.2500
3 Tl 0.0000 0.3773 0.2500
4 Br 0.0333 0.1960 0.3959

Results
formation energy (no corrections): -1176 meV per atom
magnetization: 0.00 μB/f.u.
final energy: -3.13 eV/atom


24.
A plane-wave DFT calculation with GGA-PBE was carried out for an optimized crystal structure of Eu2SeO.

Cell: 3.422 3.422 6.937 Å, 90.00 90.00 90.00°
Space group P4/mmm (No. 123)
Asymmetric unit:
1 Eu 0.000 0.000 0.221
2 Se 0.500 0.500 0.500
3 O 0.500 0.500 0.000

Results
formation energy (no corrections): -1830 meV per atom
energy relative to the lowest polymorph listed for this composition: 1.76 eV per formula unit
magnetization: 14.00 μB/f.u.
final energy: -9.08 eV/atom